Below is a relaxed structure of Th2TcPb, with properties calculated at the PBE-GGA level.

## Properties
M_tot ... 0.00 μB/atom
Energy relative to the elements ... -0.239 eV/atom
Polymorph energy (0 for the lowest one) ... 0 meV per atom
E ... -29.9 eV for the cell shown
Symmetry ... P4/mmm, No. 123

a b c (Å): 3.4906 3.4906 8.7720
angles (deg): 90.00 90.00 90.00
Closest atoms and distances in Å follow each position.
Atoms (fractional coordinates):
Th 0.0000 0.0000 0.7964  4 Tc 3.05
Th 0.0000 0.0000 0.2036  4 Tc 3.05
Pb 0.5000 0.5000 0.5000  4 Pb 3.49, 8 Th 3.59
Tc 0.5000 0.5000 0.0000  8 Th 3.05